## Cr2CdRu (SCAN)

Data for a crystal of Cr2CdRu relaxed with PBEsol.

a = 2.6488 Å, b = 2.6488 Å, c = 8.5949 Å
α = 90.00°, β = 90.00°, γ = 113.70°
Element x y z (fractional)
Cr1 0.0000 0.0000 0.0000
Cr2 0.5000 0.5000 0.1996
Cd1 0.0000 0.0000 0.4803
Ru1 0.5000 0.5000 0.7667

Raw total energy (eV/atom): -25.133
DFT formation energy (kJ per mole of atoms): 35.7

---

## LiAg2 (SCAN)

Data for a crystal of LiAg2 relaxed with PBEsol.

a = 7.5964 Å, b = 7.5964 Å, c = 2.8048 Å
α = 90.00°, β = 90.00°, γ = 120.00°
Element x y z (fractional)
Li1 0.0000 0.0000 0.0000
Li2 0.3333 0.6667 0.5000
Li3 0.6667 0.3333 0.5000
Ag1 0.0000 0.3094 0.5000
Ag2 0.0000 0.6444 0.0000
Ag3 0.3094 0.0000 0.5000
Ag4 0.3556 0.3556 0.0000
Ag5 0.6444 0.0000 0.0000
Ag6 0.6906 0.6906 0.5000

Energy above the lowest structure with this stoichiometry (meV per atom): 0
Raw total energy (eV/atom): -21.864
DFT formation energy (kJ per mole of atoms): -15.1

---

## MgMnInP2 (SCAN)

Data for a crystal of MgMnInP2 relaxed with PBEsol.

a = 4.2981 Å, b = 4.2981 Å, c = 5.1348 Å
α = 90.00°, β = 90.00°, γ = 90.00°
Element x y z (fractional)
Mg1 0.0000 0.0000 0.0000
Mn1 0.5000 0.5000 0.5000
In1 0.5000 0.5000 0.0000
P1 0.0000 0.5000 0.5000
P2 0.5000 0.0000 0.5000

Raw total energy (eV/atom): -15.217
DFT formation energy (kJ per mole of atoms): 25.6

---

## ScIn3Re (SCAN)

Data for a crystal of ScIn3Re relaxed with PBEsol.

a = 5.2742 Å, b = 5.2742 Å, c = 5.2742 Å
α = 90.00°, β = 90.00°, γ = 90.00°
Element x y z (fractional)
Sc1 0.0000 0.0000 0.0000
In1 0.0000 0.0000 0.5000
In2 0.0000 0.5000 0.0000
In3 0.5000 0.0000 0.0000
Re1 0.5000 0.5000 0.5000

Raw total energy (eV/atom): -35.430
DFT formation energy (kJ per mole of atoms): 161.0

---

## SrTlAg2 (SCAN)

Data for a crystal of SrTlAg2 relaxed with PBEsol.

a = 5.9179 Å, b = 5.9179 Å, c = 5.9179 Å
α = 47.37°, β = 47.37°, γ = 47.37°
Element x y z (fractional)
Sr1 0.0000 0.0000 0.0000
Tl1 0.7905 0.7905 0.7905
Ag1 0.2064 0.2064 0.2064
Ag2 0.5320 0.5320 0.5320

Raw total energy (eV/atom): -39.575
DFT formation energy (kJ per mole of atoms): -22.5

---

## CaYCd2 (SCAN)

Data for a crystal of CaYCd2 relaxed with PBEsol.

a = 5.2778 Å, b = 5.2778 Å, c = 3.6678 Å
α = 90.00°, β = 90.00°, γ = 90.00°
Element x y z (fractional)
Ca1 0.0000 0.0000 0.0000
Y1 0.5000 0.5000 0.0000
Cd1 0.0000 0.5000 0.5000
Cd2 0.5000 0.0000 0.5000

Raw total energy (eV/atom): -25.072
DFT formation energy (kJ per mole of atoms): -47.1

---

## Ca2SiW (SCAN)

Data for a crystal of Ca2SiW relaxed with PBEsol.

a = 4.1633 Å, b = 5.9872 Å, c = 5.9872 Å
α = 40.37°, β = 90.00°, γ = 90.00°
Element x y z (fractional)
Ca1 0.0000 0.0000 0.0000
Ca2 0.5000 0.2932 0.2932
Si1 0.5000 0.5911 0.5911
W1 0.0000 0.7007 0.7007

Raw total energy (eV/atom): -24.356
Energy relative to the elements, uncorrected (eV per atom): 0.401

---

## Li2Mg (SCAN)

Data for a crystal of Li2Mg relaxed with PBEsol.

a = 5.4794 Å, b = 5.4794 Å, c = 5.4794 Å
α = 146.41°, β = 139.30°, γ = 53.76°
Element x y z (fractional)
Li1 0.1716 0.1716 0.0000
Li2 0.8284 0.8284 0.0000
Mg1 0.5000 0.5000 0.0000

Raw total energy (eV/atom): -3.277
DFT formation energy (kJ per mole of atoms): -2.5